The following is a DFT calculation (PBE) of a relaxed Ba5Tl crystal.

Calculated values
**Total moment**: 0.00 μB/atom
**E above lowest polymorph**: 82.6 meV/atom
**Space-group type**: I4/mcm
**Formation enthalpy at 0 K**: -0.05 eV per atom

Cell lengths 10.1906, 10.1906, 10.1906 Å; angles 126.98, 126.98, 78.28 degrees
Positions (direct):
Ba 0.0000 0.0000 0.0000
Ba 0.0210 0.5210 0.8284
Ba 0.1926 0.0210 0.5000
Ba 0.3074 0.8074 0.8284
Ba 0.4790 0.3074 0.5000
Ba 0.5000 0.5000 0.0000
Ba 0.5210 0.6926 0.5000
Ba 0.6926 0.1926 0.1716
Ba 0.8074 0.9790 0.5000
Ba 0.9790 0.4790 0.1716
Tl 0.2500 0.2500 0.0000
Tl 0.7500 0.7500 0.0000